Arrangement one

Compound: LaMgSc
Source: Alexandria
Functional: PBE
Structure: optimized geometry

Unit cell a=7.370 b=7.370 c=7.370 alpha=90.00 beta=90.00 gamma=90.00
Space group F-43m (No. 216)
Asymmetric unit:
La: 0.000 0.000 0.000 x4
Mg: 0.250 0.250 0.750 x4
Sc: 0.250 0.250 0.250 x4

Output
As for the crystal system: cubic.

Arrangement two

Compound: LaMgSc
Source: Alexandria
Functional: PBE
Structure: optimized geometry

Unit cell a=5.4140 b=5.4140 c=3.3602 alpha=90.00 beta=90.00 gamma=120.00
Space group P3m1 (No. 156)
Asymmetric unit:
La: 0.0000 0.0000 0.0000 x1
Mg: 0.6667 0.3333 0.4199 x1
Sc: 0.3333 0.6667 0.5479 x1

Output
As for the crystal system: trigonal.

Result of the stability comparison: arrangement two is the most stable of them.

Arrangement one

Compound: LaMgSc
Source: Alexandria
Functional: PBE
Structure: optimized geometry

Unit cell a=12.575 b=3.592 c=7.960 alpha=90.00 beta=106.16 gamma=90.00
Space group C2/m (No. 12)
Asymmetric unit:
La: 0.013 0.000 0.278 x4
Mg: 0.166 0.500 0.050 x4
Sc: 0.200 0.500 0.624 x4

Output
As for the crystal system: monoclinic.

Arrangement two

Compound: LaMgSc
Source: Alexandria
Functional: PBE
Structure: optimized geometry

Unit cell a=5.546 b=3.759 c=8.667 alpha=90.00 beta=108.60 gamma=90.00
Space group Pm (No. 6)
Asymmetric unit:
La: 0.000 0.000 0.000 x1
La: 0.336 0.000 0.674 x1
Mg: 0.518 0.500 0.036 x1
Mg: 0.819 0.500 0.638 x1
Sc: 0.167 0.500 0.337 x1
Sc: 0.666 0.000 0.337 x1

Output
As for the crystal system: monoclinic.

Result of the stability comparison: arrangement two is the most stable of them.

Arrangement one

Compound: La2MgSc2
Source: Alexandria
Functional: PBE
Structure: optimized geometry

Unit cell a=7.915 b=7.915 c=4.892 alpha=90.00 beta=90.00 gamma=90.00
Space group P4/mbm (No. 127)
Asymmetric unit:
La: 0.152 0.348 0.000 x4
Mg: 0.000 0.000 0.500 x2
Sc: 0.143 0.643 0.500 x4

Output
As for the crystal system: tetragonal.

Arrangement two

Compound: La2MgSc2
Source: Alexandria
Functional: PBE
Structure: optimized geometry

Unit cell a=4.159 b=4.159 c=18.684 alpha=90.00 beta=90.00 gamma=90.00
Space group I4/mmm (No. 139)
Asymmetric unit:
La: 0.000 0.000 0.096 x4
Mg: 0.000 0.000 0.500 x2
Sc: 0.000 0.500 0.250 x4

Output
As for the crystal system: tetragonal.

Arrangement three

Compound: La2MgSc2
Source: Alexandria
Functional: PBE
Structure: optimized geometry

Unit cell a=9.072 b=9.072 c=3.665 alpha=90.00 beta=90.00 gamma=90.00
Space group P4/mbm (No. 127)
Asymmetric unit:
La: 0.132 0.368 0.000 x4
Mg: 0.000 0.000 0.000 x2
Sc: 0.173 0.673 0.500 x4

Output
As for the crystal system: tetragonal.

Result of the stability comparison: arrangement one is the most stable of them.

Arrangement one

Compound: LaMgSc3
Source: Alexandria
Functional: PBE
Structure: optimized geometry

Unit cell a=5.326 b=5.326 c=5.326 alpha=90.00 beta=90.00 gamma=90.00
Space group Pm-3m (No. 221)
Asymmetric unit:
La: 0.000 0.000 0.000 x1
Mg: 0.500 0.500 0.500 x1
Sc: 0.000 0.500 0.500 x3

Output
As for the crystal system: cubic.

Arrangement two

Compound: LaMgSc3
Source: Alexandria
Functional: PBE
Structure: optimized geometry

Unit cell a=5.257 b=5.257 c=5.257 alpha=90.00 beta=90.00 gamma=90.00
Space group Pm-3m (No. 221)
Asymmetric unit:
La: 0.000 0.000 0.000 x1
Mg: 0.500 0.500 0.500 x1
Sc: 0.000 0.000 0.500 x3

Output
As for the crystal system: cubic.

Result of the stability comparison: arrangement one is the most stable of them.

Arrangement one

Compound: LaTbMgSc
Source: Alexandria
Functional: PBE
Structure: optimized geometry

Unit cell a=3.492 b=3.344 c=20.299 alpha=90.00 beta=90.00 gamma=90.00
Space group Amm2 (No. 38)
Asymmetric unit:
La: 0.000 0.000 0.000 x2
Tb: 0.000 0.000 0.758 x2
Mg: 0.500 0.000 0.376 x2
Sc: 0.500 0.000 0.144 x2

Output
As for the crystal system: orthorhombic.

Arrangement two

Compound: LaTbMgSc
Source: Alexandria
Functional: PBE
Structure: optimized geometry

Unit cell a=7.765 b=7.765 c=7.765 alpha=90.00 beta=90.00 gamma=90.00
Space group F-43m (No. 216)
Asymmetric unit:
La: 0.000 0.000 0.000 x4
Tb: 0.000 0.000 0.500 x4
Mg: 0.250 0.250 0.750 x4
Sc: 0.250 0.250 0.250 x4

Output
As for the crystal system: cubic.

Result of the stability comparison: arrangement two is the most stable of them.

Arrangement one

Compound: LaThMgSc
Source: Alexandria
Functional: PBE
Structure: optimized geometry

Unit cell a=3.597 b=3.597 c=8.941 alpha=90.00 beta=90.00 gamma=90.00
Space group P4mm (No. 99)
Asymmetric unit:
La: 0.000 0.000 0.000 x1
Th: 0.500 0.500 0.724 x1
Mg: 0.500 0.500 0.273 x1
Sc: 0.000 0.000 0.482 x1

Output
As for the crystal system: tetragonal.

Arrangement two

Compound: LaThMgSc
Source: Alexandria
Functional: PBE
Structure: optimized geometry

Unit cell a=7.786 b=7.786 c=7.786 alpha=90.00 beta=90.00 gamma=90.00
Space group F-43m (No. 216)
Asymmetric unit:
La: 0.000 0.000 0.000 x4
Th: 0.000 0.000 0.500 x4
Mg: 0.250 0.250 0.750 x4
Sc: 0.250 0.250 0.250 x4

Output
As for the crystal system: cubic.

Result of the stability comparison: arrangement one is the most stable of them.

Arrangement one

Compound: La2MgSe4
Source: Alexandria
Functional: PBE
Structure: optimized geometry

Unit cell a=12.157 b=12.157 c=12.157 alpha=90.00 beta=90.00 gamma=90.00
Space group Fd-3m (No. 227, origin choice 2)
Asymmetric unit:
La: 0.000 0.000 0.000 x16
Mg: 0.125 0.125 0.625 x8
Se: 0.002 0.002 0.248 x32

Output
As for the crystal system: cubic.

Arrangement two

Compound: La2MgSe4
Source: Alexandria
Functional: PBE
Structure: optimized geometry

Unit cell a=14.792 b=8.745 c=7.000 alpha=90.00 beta=90.00 gamma=90.00
Space group Pnma (No. 62)
Asymmetric unit:
La: 0.000 0.000 0.000 x4
La: 0.230 0.250 0.489 x4
Mg: 0.096 0.750 0.413 x4
Se: 0.066 0.250 0.740 x4
Se: 0.091 0.750 0.778 x4
Se: 0.171 0.518 0.240 x8

Output
As for the crystal system: orthorhombic.

Result of the stability comparison: arrangement two is the most stable of them.

Arrangement one

Compound: LaMg3Se
Source: Alexandria
Functional: PBE
Structure: optimized geometry

Unit cell a=5.244 b=5.244 c=5.244 alpha=90.00 beta=90.00 gamma=90.00
Space group Pm-3m (No. 221)
Asymmetric unit:
La: 0.000 0.000 0.000 x1
Mg: 0.000 0.500 0.500 x3
Se: 0.500 0.500 0.500 x1

Output
As for the crystal system: cubic.

Arrangement two

Compound: LaMg3Se
Source: Alexandria
Functional: PBE
Structure: optimized geometry

Unit cell a=6.183 b=6.183 c=6.183 alpha=90.00 beta=90.00 gamma=90.00
Space group Pm-3m (No. 221)
Asymmetric unit:
La: 0.000 0.000 0.000 x1
Mg: 0.000 0.000 0.500 x3
Se: 0.500 0.500 0.500 x1

Output
As for the crystal system: cubic.

Result of the stability comparison: arrangement one is the most stable of them.

Arrangement one

Compound: LaMgSe
Source: Alexandria
Functional: PBE
Structure: optimized geometry

Unit cell a=4.7606 b=4.7606 c=3.9411 alpha=90.00 beta=90.00 gamma=120.00
Space group P-6m2 (No. 187)
Asymmetric unit:
La: 0.0000 0.0000 0.0000 x1
Mg: 0.6667 0.3333 0.5000 x1
Se: 0.3333 0.6667 0.5000 x1

Output
As for the crystal system: hexagonal.

Arrangement two

Compound: LaMgSe
Source: Alexandria
Functional: PBE
Structure: optimized geometry

Unit cell a=3.9717 b=3.9717 c=6.4879 alpha=90.00 beta=90.00 gamma=120.00
Space group P3m1 (No. 156)
Asymmetric unit:
La: 0.0000 0.0000 0.0000 x1
Mg: 0.6667 0.3333 0.4446 x1
Se: 0.3333 0.6667 0.6897 x1

Output
As for the crystal system: trigonal.

Result of the stability comparison: arrangement two is the most stable of them.

Arrangement one

Compound: LaMgSe
Source: Alexandria
Functional: PBE
Structure: optimized geometry

Unit cell a=7.102 b=7.102 c=7.102 alpha=90.00 beta=90.00 gamma=90.00
Space group F-43m (No. 216)
Asymmetric unit:
La: 0.000 0.000 0.000 x4
Mg: 0.000 0.000 0.500 x4
Se: 0.250 0.250 0.250 x4

Output
As for the crystal system: cubic.

Arrangement two

Compound: LaMgSe
Source: Alexandria
Functional: PBE
Structure: optimized geometry

Unit cell a=3.652 b=3.652 c=12.023 alpha=90.00 beta=90.00 gamma=90.00
Space group I4mm (No. 107)
Asymmetric unit:
La: 0.000 0.000 0.000 x2
Mg: 0.000 0.000 0.285 x2
Se: 0.000 0.000 0.645 x2

Output
As for the crystal system: tetragonal.

Arrangement three

Compound: LaMgSe
Source: Alexandria
Functional: PBE
Structure: optimized geometry

Unit cell a=7.264 b=7.264 c=7.264 alpha=90.00 beta=90.00 gamma=90.00
Space group F-43m (No. 216)
Asymmetric unit:
La: 0.000 0.000 0.000 x4
Mg: 0.250 0.250 0.250 x4
Se: 0.250 0.250 0.750 x4

Output
As for the crystal system: cubic.

Result of the stability comparison: arrangement two is the most stable of them.

Arrangement one

Compound: LaMg6Si
Source: Alexandria
Functional: PBE
Structure: optimized geometry

Unit cell a=4.901 b=5.918 c=13.409 alpha=90.00 beta=90.00 gamma=90.00
Space group Amm2 (No. 38)
Asymmetric unit:
La: 0.000 0.000 0.000 x2
Mg: 0.000 0.246 0.743 x4
Mg: 0.500 0.000 0.165 x2
Mg: 0.500 0.000 0.588 x2
Mg: 0.500 0.249 0.375 x4
Si: 0.000 0.000 0.431 x2

Output
As for the crystal system: orthorhombic.

Arrangement two

Compound: LaMg6Si
Source: Alexandria
Functional: PBE
Structure: optimized geometry

Unit cell a=4.639 b=6.292 c=13.222 alpha=90.00 beta=90.00 gamma=90.00
Space group Amm2 (No. 38)
Asymmetric unit:
La: 0.000 0.000 0.000 x2
Mg: 0.000 0.000 0.566 x2
Mg: 0.000 0.241 0.280 x4
Mg: 0.500 0.000 0.412 x2
Mg: 0.500 0.244 0.147 x4
Si: 0.500 0.000 0.835 x2

Output
As for the crystal system: orthorhombic.

Result of the stability comparison: arrangement one is the most stable of them.

Arrangement one

Compound: LaMg3Si
Source: Alexandria
Functional: PBE
Structure: optimized geometry

Unit cell a=5.140 b=5.140 c=5.140 alpha=90.00 beta=90.00 gamma=90.00
Space group Pm-3m (No. 221)
Asymmetric unit:
La: 0.000 0.000 0.000 x1
Mg: 0.000 0.500 0.500 x3
Si: 0.500 0.500 0.500 x1

Output
As for the crystal system: cubic.

Arrangement two

Compound: LaMg3Si
Source: Alexandria
Functional: PBE
Structure: optimized geometry

Unit cell a=5.902 b=5.902 c=5.902 alpha=90.00 beta=90.00 gamma=90.00
Space group Pm-3m (No. 221)
Asymmetric unit:
La: 0.000 0.000 0.000 x1
Mg: 0.000 0.000 0.500 x3
Si: 0.500 0.500 0.500 x1

Output
As for the crystal system: cubic.

Result of the stability comparison: arrangement one is the most stable of them.